Computed, not measured: a geometry-optimized La4InN structure at the PBE level of DFT.

Cell and atoms, written as CIF:
```
data_La4InN
_space_group_name_H-M_alt 'P m m n'
_space_group_IT_number 59
_cell_length_a 5.416
_cell_length_b 9.843
_cell_length_c 7.355
_cell_angle_alpha 90.00
_cell_angle_beta 90.00
_cell_angle_gamma 90.00
loop_
_space_group_symop_operation_xyz
'x,y,z'
'-x,-y,-z'
'-x+1/2,-y+1/2,z'
'x+1/2,y+1/2,-z'
'x+1/2,-y,-z'
'-x+1/2,y,z'
'-x,y+1/2,-z'
'x,-y+1/2,z'
loop_
_atom_site_label
_atom_site_type_symbol
_atom_site_fract_x
_atom_site_fract_y
_atom_site_fract_z
La1 La 0.250 0.056 0.218
La2 La 0.250 0.250 0.708
La3 La 0.250 0.750 0.582
In1 In 0.250 0.750 0.013
N1 N 0.250 0.250 0.394
```

=====

Computed, not measured: a geometry-optimized La2InN structure at the PBE level of DFT.

Cell and atoms, written as CIF:
```
data_La2InN
_space_group_name_H-M_alt 'I -4 2 d'
_space_group_IT_number 122
_space_group_name_Hall 'I -4 2bw'
_cell_length_a 7.302
_cell_length_b 7.302
_cell_length_c 8.655
_cell_angle_alpha 90.00
_cell_angle_beta 90.00
_cell_angle_gamma 90.00
loop_
_atom_site_label
_atom_site_type_symbol
_atom_site_fract_x
_atom_site_fract_y
_atom_site_fract_z
La1 La 0.145 0.250 0.125
In1 In 0.000 0.000 0.500
N1 N 0.000 0.000 0.000
```

=====

Computed, not measured: a geometry-optimized La12In3N5 structure at the PBE level of DFT.

Cell and atoms, written as CIF:
```
data_La12In3N5
_space_group_name_H-M_alt 'I a -3 d'
_space_group_IT_number 230
_space_group_name_Hall '-I 4bd 2c 3'
_cell_length_a 16.597
_cell_length_b 16.597
_cell_length_c 16.597
_cell_angle_alpha 90.00
_cell_angle_beta 90.00
_cell_angle_gamma 90.00
loop_
_atom_site_label
_atom_site_type_symbol
_atom_site_fract_x
_atom_site_fract_y
_atom_site_fract_z
La1 La 0.039 0.049 0.647
In1 In 0.000 0.250 0.125
N1 N 0.000 0.000 0.000
N2 N 0.000 0.250 0.375
```

=====

Computed, not measured: a geometry-optimized La2InN structure at the PBE level of DFT.

Cell and atoms, written as CIF:
```
data_La2InN
_space_group_name_H-M_alt 'R -3 m'
_space_group_IT_number 166
_space_group_name_Hall '-R 3 2"'
_cell_length_a 3.7281
_cell_length_b 3.7281
_cell_length_c 25.6452
_cell_angle_alpha 90.00
_cell_angle_beta 90.00
_cell_angle_gamma 120.00
loop_
_atom_site_label
_atom_site_type_symbol
_atom_site_fract_x
_atom_site_fract_y
_atom_site_fract_z
La1 La 0.0000 0.0000 0.2224
In1 In 0.0000 0.0000 0.0000
N1 N 0.0000 0.0000 0.5000
```

=====

Computed, not measured: a geometry-optimized La6InN3 structure at the PBE level of DFT.

Cell and atoms, written as CIF:
```
data_La6InN3
_space_group_name_H-M_alt 'R 3'
_space_group_IT_number 146
_space_group_name_Hall 'R 3'
_cell_length_a 6.9519
_cell_length_b 6.9519
_cell_length_c 18.1432
_cell_angle_alpha 90.00
_cell_angle_beta 90.00
_cell_angle_gamma 120.00
loop_
_atom_site_label
_atom_site_type_symbol
_atom_site_fract_x
_atom_site_fract_y
_atom_site_fract_z
La1 La 0.0072 0.5607 0.0000
La2 La 0.0258 0.3421 0.8267
In1 In 0.0000 0.0000 0.9865
N1 N 0.0000 0.0000 0.2259
N2 N 0.0000 0.0000 0.4080
N3 N 0.0000 0.0000 0.7486
```

=====

Computed, not measured: a geometry-optimized La2InN structure at the PBE level of DFT.

Cell and atoms, written as CIF:
```
data_La2InN
_space_group_name_H-M_alt 'P 4/m m m'
_space_group_IT_number 123
_space_group_name_Hall '-P 4 2'
_cell_length_a 3.244
_cell_length_b 3.244
_cell_length_c 8.427
_cell_angle_alpha 90.00
_cell_angle_beta 90.00
_cell_angle_gamma 90.00
loop_
_atom_site_label
_atom_site_type_symbol
_atom_site_fract_x
_atom_site_fract_y
_atom_site_fract_z
La1 La 0.000 0.000 0.179
In1 In 0.500 0.500 0.500
N1 N 0.500 0.500 0.000
```

=====

Computed, not measured: a geometry-optimized La6In2N structure at the PBE level of DFT.

Cell and atoms, written as CIF:
```
data_La6In2N
_space_group_name_H-M_alt 'F m -3 m'
_space_group_IT_number 225
_space_group_name_Hall '-F 4 2 3'
_cell_length_a 10.293
_cell_length_b 10.293
_cell_length_c 10.293
_cell_angle_alpha 90.00
_cell_angle_beta 90.00
_cell_angle_gamma 90.00
loop_
_atom_site_label
_atom_site_type_symbol
_atom_site_fract_x
_atom_site_fract_y
_atom_site_fract_z
La1 La 0.000 0.000 0.243
In1 In 0.250 0.250 0.250
N1 N 0.000 0.000 0.000
```

=====

Computed, not measured: a geometry-optimized La2InN structure at the PBE level of DFT.

Cell and atoms, written as CIF:
```
data_La2InN
_space_group_name_H-M_alt 'P 63/m m c'
_space_group_IT_number 194
_space_group_name_Hall '-P 6c 2c'
_cell_length_a 3.7249
_cell_length_b 3.7249
_cell_length_c 17.1831
_cell_angle_alpha 90.00
_cell_angle_beta 90.00
_cell_angle_gamma 120.00
loop_
_atom_site_label
_atom_site_type_symbol
_atom_site_fract_x
_atom_site_fract_y
_atom_site_fract_z
La1 La 0.3333 0.6667 0.0830
In1 In 0.3333 0.6667 0.7500
N1 N 0.0000 0.0000 0.0000
```

=====

Computed, not measured: a geometry-optimized La4InN structure at the PBE level of DFT.

Cell and atoms, written as CIF:
```
data_La4InN
_space_group_name_H-M_alt 'C m c m'
_space_group_IT_number 63
_space_group_name_Hall '-C 2c 2'
_cell_length_a 5.162
_cell_length_b 18.894
_cell_length_c 7.147
_cell_angle_alpha 90.00
_cell_angle_beta 90.00
_cell_angle_gamma 90.00
loop_
_atom_site_label
_atom_site_type_symbol
_atom_site_fract_x
_atom_site_fract_y
_atom_site_fract_z
La1 La 0.000 0.000 0.000
La2 La 0.000 0.186 0.007
La3 La 0.000 0.406 0.250
In1 In 0.000 0.400 0.750
N1 N 0.000 0.101 0.750
```

=====

Computed, not measured: a geometry-optimized La2InN structure at the PBE level of DFT.

Cell and atoms, written as CIF:
```
data_La2InN
_space_group_name_H-M_alt 'F m -3 m'
_space_group_IT_number 225
_space_group_name_Hall '-F 4 2 3'
_cell_length_a 7.370
_cell_length_b 7.370
_cell_length_c 7.370
_cell_angle_alpha 90.00
_cell_angle_beta 90.00
_cell_angle_gamma 90.00
loop_
_atom_site_label
_atom_site_type_symbol
_atom_site_fract_x
_atom_site_fract_y
_atom_site_fract_z
La1 La 0.250 0.250 0.250
In1 In 0.000 0.000 0.000
N1 N 0.000 0.000 0.500
```

=====

Computed, not measured: a geometry-optimized La9In3N2 structure at the PBE level of DFT.

Cell and atoms, written as CIF:
```
data_La9In3N2
_space_group_name_H-M_alt 'P -3 m 1'
_space_group_IT_number 164
_space_group_name_Hall '-P 3 2"'
_cell_length_a 7.2630
_cell_length_b 7.2630
_cell_length_c 8.8898
_cell_angle_alpha 90.00
_cell_angle_beta 90.00
_cell_angle_gamma 120.00
loop_
_atom_site_label
_atom_site_type_symbol
_atom_site_fract_x
_atom_site_fract_y
_atom_site_fract_z
La1 La 0.0000 0.5000 0.0000
La2 La 0.1720 0.3441 0.6726
In1 In 0.0000 0.0000 0.0000
In2 In 0.3333 0.6667 0.3339
N1 N 0.3333 0.6667 0.8286
```

=====

Computed, not measured: a geometry-optimized La3InN structure at the PBE level of DFT.

Cell and atoms, written as CIF:
```
data_La3InN
_space_group_name_H-M_alt 'P m -3 m'
_space_group_IT_number 221
_space_group_name_Hall '-P 4 2 3'
_cell_length_a 5.139
_cell_length_b 5.139
_cell_length_c 5.139
_cell_angle_alpha 90.00
_cell_angle_beta 90.00
_cell_angle_gamma 90.00
loop_
_atom_site_label
_atom_site_type_symbol
_atom_site_fract_x
_atom_site_fract_y
_atom_site_fract_z
La1 La 0.000 0.000 0.500
In1 In 0.500 0.500 0.500
N1 N 0.000 0.000 0.000
```

=====

Per-record E_form (uncorrected), eV per atom: -0.575, -0.783, -0.772, -0.832, -0.809, -0.588, -0.574, -0.824, -0.646, 0.251, -0.692, -0.885
Per-record E, eV/cell: -68.4, -96.2, -995.3, -72.7, -196.1, -23.3, -194.1, -48.4, -138.6, -79.7, -78.9, -30.3